(1)
Entry from the Alexandria database: crystalline Pu4ScPd5 at its relaxed geometry (PBE).

Results
Formation energy = -63 kJ/mol of formula units

Lattice parameters (Å, degrees): 3.157 3.157 19.845 90.00 90.00 90.00
Space group P4/mmm (No. 123)
Symmetry-distinct sites (fractional):
Pu  0.000  0.000  0.101
Pu  0.000  0.000  0.306
Sc  0.000  0.000  0.500
Pd  0.500  0.500  0.000
Pd  0.500  0.500  0.196
Pd  0.500  0.500  0.416

---

(2)
Entry from the Alexandria database: crystalline Ce6CdSi2 at its relaxed geometry (PBE).

Results
Raw formation energy = -0.2747 eV per atom

Lattice parameters (Å, degrees): 9.493 9.560 10.437 90.00 90.00 90.00
Space group Immm (No. 71)
Symmetry-distinct sites (fractional):
Ce  0.000  0.217  0.247
Ce  0.214  0.500  0.315
Ce  0.222  0.303  0.000
Cd  0.000  0.000  0.000
Cd  0.000  0.000  0.500
Si  0.000  0.370  0.500
Si  0.000  0.500  0.114

---

(3)
Entry from the Alexandria database: crystalline Li2Sm3Tl5 at its relaxed geometry (PBE).

Results
Formation energy = -275 kJ/mol of formula units

Lattice parameters (Å, degrees): 10.841 10.841 4.324 90.00 90.00 90.00
Space group P4/mbm (No. 127)
Symmetry-distinct sites (fractional):
Li  0.121  0.379  0.000
Sm  0.000  0.000  0.000
Sm  0.172  0.672  0.000
Tl  0.000  0.500  0.500
Tl  0.076  0.212  0.500

---

(4)
Entry from the Alexandria database: crystalline LaMn2 at its relaxed geometry (PBE).

Results
Formation energy = 122 kJ/mol of formula units

Lattice parameters (Å, degrees): 4.993 4.993 9.846 90.00 90.00 90.00
Space group I4/mcm (No. 140)
Symmetry-distinct sites (fractional):
La  0.000  0.000  0.250
Mn  0.175  0.325  0.000